The following is a PBE-GGA calculation of an optimized crystal structure of CdCoBr2, from the Alexandria database.

Output
* final energy: -11.8 eV/f.u.
* Fermi-level density of states: 6.585 states/eV/cell
* energy relative to the elements, uncorrected: -0.118 eV/atom

Geometry as CIF:
```
data_CdCoBr2
_space_group_name_H-M_alt 'R 3 m'
_space_group_IT_number 160
_space_group_name_Hall 'R 3 -2"'
_cell_length_a 3.7457
_cell_length_b 3.7457
_cell_length_c 25.3439
_cell_angle_alpha 90.00
_cell_angle_beta 90.00
_cell_angle_gamma 120.00
loop_
_atom_site_label
_atom_site_fract_x
_atom_site_fract_y
_atom_site_fract_z
Cd1 0.0000 0.0000 0.0000
Co1 0.0000 0.0000 0.7416
Br1 0.0000 0.0000 0.2630
Br2 0.0000 0.0000 0.4500
```

The following is a PBE-GGA calculation of an optimized crystal structure of K2AlTlO4, from the Alexandria database.

Output
* final energy: -42.2 eV/f.u.
* Fermi-level density of states: 0.000 states/eV/cell
* energy relative to the elements, uncorrected: -1.753 eV/atom

Geometry as CIF:
```
data_K2AlTlO4
_space_group_name_H-M_alt 'I -4'
_space_group_IT_number 82
_cell_length_a 5.8767
_cell_length_b 5.8767
_cell_length_c 8.0399
_cell_angle_alpha 90.00
_cell_angle_beta 90.00
_cell_angle_gamma 90.00
loop_
_space_group_symop_operation_xyz
'x,y,z'
'y,-x,-z'
'-x,-y,z'
'-y,x,-z'
'x+1/2,y+1/2,z+1/2'
'y+1/2,-x+1/2,-z+1/2'
'-x+1/2,-y+1/2,z+1/2'
'-y+1/2,x+1/2,-z+1/2'
loop_
_atom_site_label
_atom_site_fract_x
_atom_site_fract_y
_atom_site_fract_z
K1 0.0000 0.0000 0.0000
K2 0.0000 0.5000 0.2500
Al1 0.0000 0.0000 0.5000
Tl1 0.0000 0.5000 0.7500
O1 0.1484 0.2161 0.6142
```

The following is a PBE-GGA calculation of an optimized crystal structure of HfVAg, from the Alexandria database.

Output
* final energy: -21.3 eV/f.u.
* Fermi-level density of states: 5.546 states/eV/cell
* ΔE_f: 4.9 kcal/mol of atoms

Geometry as CIF:
```
data_HfVAg
_space_group_name_H-M_alt 'P 1'
_space_group_IT_number 1
_cell_length_a 2.9521
_cell_length_b 5.7987
_cell_length_c 6.6560
_cell_angle_alpha 94.79
_cell_angle_beta 102.09
_cell_angle_gamma 102.87
loop_
_space_group_symop_operation_xyz
'x,y,z'
loop_
_atom_site_label
_atom_site_fract_x
_atom_site_fract_y
_atom_site_fract_z
Hf1 0.0000 0.0000 0.0000
Hf2 0.4024 0.1694 0.6181
V1 0.5551 0.7224 0.5991
V2 0.6902 0.8232 0.3161
Ag1 0.1913 0.5200 0.9316
Ag2 0.8296 0.3703 0.2911
```

The following is a PBE-GGA calculation of an optimized crystal structure of Np2PaTiP4, from the Alexandria database.

Output
* final energy: -73.0 eV/f.u.
* Fermi-level density of states: 19.053 states/eV/cell
* ΔE_f: -23.2 kcal/mol of atoms

Geometry as CIF:
```
data_Np2PaTiP4
_space_group_name_H-M_alt 'P 1 2/m 1'
_space_group_IT_number 10
_cell_length_a 6.6333
_cell_length_b 3.8841
_cell_length_c 6.7004
_cell_angle_alpha 90.00
_cell_angle_beta 109.55
_cell_angle_gamma 90.00
loop_
_space_group_symop_operation_xyz
'x,y,z'
'-x,-y,-z'
'-x,y,-z'
'x,-y,z'
loop_
_atom_site_label
_atom_site_fract_x
_atom_site_fract_y
_atom_site_fract_z
Np1 0.0000 0.0000 0.0000
Np2 0.0000 0.5000 0.5000
Pa1 0.5000 0.0000 0.5000
Ti1 0.5000 0.5000 0.0000
P1 0.2592 0.5000 0.2356
P2 0.2670 0.0000 0.7695
```

The following is a PBE-GGA calculation of an optimized crystal structure of TmThAl2, from the Alexandria database.

Output
* final energy: -20.5 eV/f.u.
* Fermi-level density of states: 14.187 states/eV/cell
* ΔE_f: -6.5 kcal/mol of atoms

Geometry as CIF:
```
data_TmThAl2
_space_group_name_H-M_alt 'F m -3 m'
_space_group_IT_number 225
_space_group_name_Hall '-F 4 2 3'
_cell_length_a 7.2973
_cell_length_b 7.2973
_cell_length_c 7.2973
_cell_angle_alpha 90.00
_cell_angle_beta 90.00
_cell_angle_gamma 90.00
loop_
_atom_site_label
_atom_site_fract_x
_atom_site_fract_y
_atom_site_fract_z
Tm1 0.0000 0.0000 0.0000
Th1 0.0000 0.0000 0.5000
Al1 0.2500 0.2500 0.2500
```

The following is a PBE-GGA calculation of an optimized crystal structure of HfAsCSe2, from the Alexandria database.

Output
* final energy: -27.5 eV/f.u.
* Fermi-level density of states: 2.281 states/eV/cell
* energy relative to the elements, uncorrected: 0.655 eV/atom

Geometry as CIF:
```
data_HfAsCSe2
_space_group_name_H-M_alt 'P 4/m m m'
_space_group_IT_number 123
_space_group_name_Hall '-P 4 2'
_cell_length_a 4.3834
_cell_length_b 4.3834
_cell_length_c 4.3779
_cell_angle_alpha 90.00
_cell_angle_beta 90.00
_cell_angle_gamma 90.00
loop_
_atom_site_label
_atom_site_fract_x
_atom_site_fract_y
_atom_site_fract_z
Hf1 0.0000 0.0000 0.0000
As1 0.5000 0.5000 0.0000
C1 0.5000 0.5000 0.5000
Se1 0.0000 0.5000 0.5000
```